No. 1
7
Lattice="-3.286 3.286 8.497 3.286 -3.286 8.497 3.286 3.286 -8.497" Properties=species:S:1:pos:R:3 comment="K4Cd2Ag (PBE, optimized geometry)" sg="No. 139" e_above_lowest_polymorph_mev_per_atom=126 magnetic_moment_mub_per_fu=0.00 pbc="T T T"
K 3.286 0.000 0.000
K 0.000 0.000 3.357
K 0.000 3.286 0.000
K 0.000 0.000 13.638
Cd 0.000 0.000 6.934
Cd 0.000 0.000 10.061
Ag 0.000 0.000 0.000

=====

No. 2
10
Lattice="5.428 -3.327 0.000 5.428 3.327 0.000 -1.782 0.000 8.801" Properties=species:S:1:pos:R:3 comment="K2CdAg2 (PBE, optimized geometry)" sg="No. 15" e_above_lowest_polymorph_mev_per_atom=18 magnetic_moment_mub_per_fu=0.00 pbc="T T T"
K 1.342 0.882 1.285
K 0.451 -0.882 5.686
K 8.623 0.882 3.115
K 7.732 -0.882 7.516
Cd 4.983 0.643 2.200
Cd 4.092 -0.643 6.601
Ag 3.070 0.934 4.343
Ag 6.895 0.934 0.057
Ag 2.179 -0.934 8.744
Ag 6.005 -0.934 4.458

=====

No. 3
13
Lattice="0.000 7.057 7.247 2.975 0.000 7.247 2.975 7.057 0.000" Properties=species:S:1:pos:R:3 comment="KCd10Ag2 (PBE, optimized geometry)" sg="No. 69" e_tot_ev_per_atom=-1.269 magnetic_moment_mub_per_fu=0.00 pbc="T T T"
K 0.000 0.000 0.000
Cd 1.488 0.000 3.623
Cd 2.975 2.534 4.763
Cd 2.975 5.484 5.693
Cd 2.975 2.534 9.730
Cd 2.975 5.484 8.801
Cd 1.488 7.057 3.623
Cd 2.975 8.631 5.693
Cd 2.975 11.581 4.763
Cd 2.975 8.631 8.801
Cd 2.975 11.581 9.730
Ag 1.488 3.529 0.000
Ag 1.488 3.529 7.247

=====

No. 4
28
Lattice="7.483 -4.290 0.000 7.483 4.290 0.000 -5.154 0.000 10.855" Properties=species:S:1:pos:R:3 comment="K2Cd9Ag3 (PBE, optimized geometry)" sg="No. 15" e_tot_ev_per_atom=-1.420 magnetic_moment_mub_per_fu=0.00 pbc="T T T"
K 1.232 0.712 2.692
K -1.345 -0.712 8.120
K 11.158 0.712 2.736
K 8.581 -0.712 8.163
Cd 6.219 3.516 0.732
Cd 6.170 3.516 4.696
Cd 1.218 0.694 6.117
Cd 4.653 1.563 2.763
Cd 1.112 0.701 10.283
Cd 3.795 -0.694 0.689
Cd 3.618 1.074 8.142
Cd 7.736 1.563 2.664
Cd 3.689 -0.701 4.855
Cd 6.123 0.701 6.000
Cd 2.076 -1.563 8.191
Cd 6.195 -1.074 2.714
Cd 6.017 0.694 10.166
Cd 8.700 -0.701 0.572
Cd 5.159 -1.563 8.092
Cd 8.594 -0.694 4.738
Cd 3.642 -3.516 6.160
Cd 3.593 -3.516 10.123
Ag 3.742 2.145 0.000
Ag 3.606 2.256 5.432
Ag 3.629 2.256 10.851
Ag 1.165 -2.145 5.428
Ag 6.183 -2.256 0.005
Ag 6.206 -2.256 5.423

=====

No. 5
16
Lattice="2.241 -6.193 0.000 2.241 6.193 0.000 0.000 0.000 18.640" Properties=species:S:1:pos:R:3 comment="K3Cd2Ag3 (PBE, optimized geometry)" sg="No. 63" e_above_lowest_polymorph_mev_per_atom=26 magnetic_moment_mub_per_fu=0.00 pbc="T T T"
K 2.241 5.341 13.980
K 2.241 4.529 10.180
K 2.241 4.529 17.781
K 2.241 -4.529 0.860
K 2.241 -4.529 8.460
K 2.241 -5.341 4.660
Cd 2.241 3.737 2.936
Cd 2.241 3.737 6.384
Cd 2.241 -3.737 12.256
Cd 2.241 -3.737 15.705
Ag 2.241 1.903 13.980
Ag 2.241 0.918 11.282
Ag 2.241 0.918 16.679
Ag 2.241 -0.918 1.962
Ag 2.241 -0.918 7.358
Ag 2.241 -1.903 4.660

=====

No. 6
10
Lattice="7.648 0.000 0.000 0.000 7.648 0.000 0.000 0.000 5.300" Properties=species:S:1:pos:R:3 comment="K2CdAg2 (PBE, optimized geometry)" sg="No. 127" e_above_lowest_polymorph_mev_per_atom=63 magnetic_moment_mub_per_fu=0.00 pbc="T T T"
K 1.342 2.482 0.000
K 2.482 6.306 0.000
K 5.166 1.342 0.000
K 6.306 5.166 0.000
Cd 0.000 0.000 2.650
Cd 3.824 3.824 2.650
Ag 1.001 4.825 2.650
Ag 2.823 1.001 2.650
Ag 4.825 6.647 2.650
Ag 6.647 2.823 2.650